First-principles (PBE) data for a relaxed Pr2ZnI2 crystal, as listed in Alexandria via LeMat-Bulk.

a b c (Å): 4.247 4.247 12.394
angles (deg): 80.13 80.13 60.00
Fractional coordinates of all 5 atoms:
Pr: 0.615 0.615 0.155
Pr: 0.385 0.385 0.845
Zn: 0.000 0.000 0.000
I: 0.224 0.224 0.329
I: 0.776 0.776 0.671

Calculated values
- formation energy without anion corrections (eV/atom) = -0.858